[1]
{"formula": "BaCdBr2", "functional": "SCAN", "state": "single point on PBEsol structure", "cell": [[4.4056, 0.0000, 0.0000], [2.2028, 3.8153, 0.0000], [2.2028, 1.2718, 9.3029]], "species": ["Cd", "Ba", "Br", "Br"], "fractional_positions": [[0.5000, 0.5000, 0.5000], [0.0000, 0.0000, 0.0000], [0.8869, 0.8869, 0.3394], [0.1131, 0.1131, 0.6606]], "formation_energy_uncorrected_ev_per_atom": -0.769, "space_group": "R-3m"}

[2]
{"formula": "SrZn3Rh", "functional": "SCAN", "state": "single point on PBEsol structure", "cell": [[4.7571, 0.0000, 0.0000], [0.0000, 4.7571, 0.0000], [0.0000, 0.0000, 4.7571]], "species": ["Zn", "Zn", "Zn", "Rh", "Sr"], "fractional_positions": [[0.0000, 0.0000, 0.5000], [0.5000, 0.0000, 0.0000], [0.0000, 0.5000, 0.0000], [0.0000, 0.0000, 0.0000], [0.5000, 0.5000, 0.5000]], "space_group": "Pm-3m", "de_polymorph_mev_per_atom": 23.7}

[3]
{"formula": "Sc2TeSe", "functional": "SCAN", "state": "single point on PBEsol structure", "cell": [[-2.0783, 3.2895, 0.6270], [-1.1740, 0.9242, 3.6470], [4.4612, 4.7284, 2.3674]], "species": ["Sc", "Sc", "Te", "Se"], "fractional_positions": [[0.7633, 0.7633, 0.7101], [0.2367, 0.2367, 0.2899], [0.0000, 0.0000, 0.0000], [0.5000, 0.5000, 0.5000]], "formation_energy_uncorrected_ev_per_atom": -1.498, "space_group": "R-3m", "de_polymorph_mev_per_atom": 0.0}

[4]
{"formula": "KPbW3", "functional": "SCAN", "state": "single point on PBEsol structure", "cell": [[4.5959, 0.0000, 0.0000], [0.0000, 4.5959, 0.0000], [0.0000, 0.0000, 4.5959]], "species": ["W", "W", "W", "K", "Pb"], "fractional_positions": [[0.5000, 0.0000, 0.0000], [0.0000, 0.0000, 0.5000], [0.0000, 0.5000, 0.0000], [0.0000, 0.0000, 0.0000], [0.5000, 0.5000, 0.5000]], "space_group": "Pm-3m", "de_polymorph_mev_per_atom": 587.5}

[5]
{"formula": "ZnNiSe2S", "functional": "SCAN", "state": "single point on PBEsol structure", "cell": [[4.4931, 0.0000, 0.0000], [0.0000, 4.5535, 0.0000], [0.0000, 0.0000, 4.5535]], "species": ["Ni", "Se", "Se", "S", "Zn"], "fractional_positions": [[0.0000, 0.0000, 0.0000], [0.0000, 0.5000, 0.0000], [0.0000, 0.0000, 0.5000], [0.5000, 0.5000, 0.5000], [0.5000, 0.0000, 0.0000]], "formation_energy_uncorrected_ev_per_atom": 0.506, "space_group": "P4/mmm"}

[6]
{"formula": "ScIn2Ru", "functional": "SCAN", "state": "single point on PBEsol structure", "cell": [[-1.4905, -2.8657, -0.4840], [1.6943, -1.2987, 2.4720], [-5.2393, 1.9457, 4.6132]], "species": ["In", "In", "Sc", "Ru"], "fractional_positions": [[0.0000, 0.0000, 0.9902], [0.5000, 0.5000, 0.2946], [0.5000, 0.5000, 0.7069], [0.0000, 0.0000, 0.5083]], "total_energy_ev_per_atom": -29.2559, "space_group": "P4mm"}

[7]
{"formula": "MgTlBi3", "functional": "SCAN", "state": "single point on PBEsol structure", "cell": [[5.7550, 0.0000, 0.0000], [0.0000, 5.7550, 0.0000], [0.0000, 0.0000, 5.7550]], "species": ["Tl", "Bi", "Bi", "Bi", "Mg"], "fractional_positions": [[0.0000, 0.0000, 0.0000], [0.0000, 0.5000, 0.0000], [0.5000, 0.0000, 0.0000], [0.0000, 0.0000, 0.5000], [0.5000, 0.5000, 0.5000]], "total_energy_ev_per_atom": -61.7752, "space_group": "Pm-3m"}

[8]
{"formula": "CaNbCr3", "functional": "SCAN", "state": "single point on PBEsol structure", "cell": [[-1.1332, -4.3062, 0.3592], [2.3245, -0.2945, 3.8035], [-3.6427, 1.1517, 2.3154]], "species": ["Cr", "Cr", "Cr", "Nb", "Ca"], "fractional_positions": [[0.0000, 0.0000, 0.5000], [0.0000, 0.5000, 0.0000], [0.5000, 0.0000, 0.0000], [0.5000, 0.5000, 0.5000], [0.0000, 0.0000, 0.0000]], "total_energy_ev_per_atom": -17.6342, "space_group": "Pm-3m"}

[9]
{"formula": "ZrTa2Al", "functional": "SCAN", "state": "single point on PBEsol structure", "cell": [[3.4014, 0.0000, 0.0000], [0.0000, 3.4014, 0.0000], [0.0000, 0.0000, 6.2886]], "species": ["Ta", "Ta", "Al", "Zr"], "fractional_positions": [[0.5000, 0.5000, 0.2316], [0.0000, 0.0000, 0.0027], [0.5000, 0.5000, 0.7675], [0.0000, 0.0000, 0.4982]], "total_energy_ev_per_atom": -43.0877, "space_group": "P4mm"}

[10]
{"formula": "Cr2C", "functional": "SCAN", "state": "single point on PBEsol structure", "cell": [[2.6417, 0.0000, 0.0000], [-1.3209, 2.2878, 0.0000], [0.0000, 0.0000, 9.6484]], "species": ["Cr", "Cr", "Cr", "Cr", "C", "C"], "fractional_positions": [[0.0000, 0.0000, 0.3835], [0.0000, 0.0000, 0.1165], [0.0000, 0.0000, 0.8835], [0.0000, 0.0000, 0.6165], [0.6667, 0.3333, 0.7500], [0.3333, 0.6667, 0.2500]], "total_energy_ev_per_atom": -15.0959, "space_group": "P6_3/mmc"}

[11]
{"formula": "Na2ReAuC", "functional": "SCAN", "state": "single point on PBEsol structure", "cell": [[-0.0176, -3.2001, 2.0765], [3.7424, -1.8877, -2.8776], [3.4414, 2.0238, 3.1481]], "species": ["Na", "Na", "Au", "C", "Re"], "fractional_positions": [[0.0000, 0.5000, 0.0000], [0.0000, 0.0000, 0.5000], [0.5000, 0.0000, 0.0000], [0.0000, 0.0000, 0.0000], [0.5000, 0.5000, 0.5000]], "total_energy_ev_per_atom": -30.2784, "space_group": "P4/mmm"}

[12]
{"formula": "Mg2H2Pb", "functional": "SCAN", "state": "single point on PBEsol structure", "cell": [[-1.1780, -0.0999, -3.1633], [2.8297, -1.5450, -1.0050], [-3.5353, -4.9141, 3.2743]], "species": ["H", "H", "Mg", "Mg", "Pb"], "fractional_positions": [[0.7500, 0.2500, 0.5000], [0.2500, 0.7500, 0.5000], [0.3347, 0.3347, 0.6695], [0.6653, 0.6653, 0.3305], [0.0000, 0.0000, 0.0000]], "total_energy_ev_per_atom": -18.7260, "space_group": "I4/mmm"}